Compound: Rb6CdAg2
Source: Alexandria via LeMat-Bulk
Functional: PBE-GGA
Structure: optimized geometry

a = 10.824 Å, b = 10.824 Å, c = 10.824 Å
α = 104.51°, β = 112.01°, γ = 112.01°
Atoms (fractional coordinates):
Rb1 0.468 0.285 0.183
Rb2 0.532 0.715 0.817
Rb3 0.899 0.715 0.183
Rb4 0.101 0.285 0.817
Rb5 0.201 0.764 0.965
Rb6 0.799 0.236 0.035
Rb7 0.799 0.764 0.562
Rb8 0.201 0.236 0.438
Rb9 0.304 0.978 0.674
Rb10 0.696 0.022 0.326
Rb11 0.696 0.370 0.674
Rb12 0.304 0.630 0.326
Cd1 0.000 0.500 0.500
Cd2 0.000 0.000 0.000
Ag1 0.500 0.392 0.892
Ag2 0.500 0.608 0.108
Ag3 0.377 0.000 0.377
Ag4 0.623 0.000 0.623

- Energy of formation from the pure elements: 32 meV/atom
- Symmetry: Immm (71)